Density functional theory data (PBE) for Ba2AgSn after structural relaxation.

Results
D(E_F)   3.631 states/eV/cell
DFT formation energy   90 meV/atom
Spin magnetization   2.0 μB per cell

a = 9.4752 Å, b = 9.4752 Å, c = 9.4752 Å
α = 131.06°, β = 131.06°, γ = 71.72°
Positions (direct):
Ba1 0.1232 0.6250 0.9982
Ba2 0.3750 0.3732 0.4982
Ba3 0.6268 0.1250 0.0018
Ba4 0.8750 0.8768 0.5018
Ag1 0.0000 0.0000 0.0000
Ag2 0.7500 0.2500 0.5000
Sn1 0.2500 0.7500 0.5000
Sn2 0.5000 0.5000 0.0000